Density functional theory data (PBE+U) for LiCoPO4 after structural relaxation.

Summary:
The crystal system is hexagonal. As for the energy relative to the lowest polymorph listed for this composition: 0.118 eV/atom.

Geometry as extended XYZ:
```
42
Lattice="-6.914 2.480 -4.224 0.916 -8.123 2.230 -3.476 1.396 6.510" Properties=species:S:1:pos:R:3 pbc="T T T"
Li -0.873 -4.942 4.105
Li -3.305 -1.334 2.033
Li -5.131 -5.793 2.014
Li -5.423 1.979 4.525
Li -7.249 -2.480 4.506
Li -9.681 1.128 2.434
Co -2.731 -4.172 2.021
Co -4.137 -3.608 4.653
Co -0.495 0.199 0.927
Co -2.233 0.897 4.182
Co -7.080 0.060 3.125
Co -5.008 -0.772 -0.753
P 0.341 -5.383 1.387
P -1.935 -2.127 -0.527
P -3.549 -6.231 -0.509
P -4.228 1.302 1.847
P -5.842 -2.802 1.864
P -8.118 0.454 -0.049
O -1.919 -6.482 4.723
O -0.975 -5.235 2.183
O -3.462 -4.419 6.451
O -2.003 -3.350 3.954
O -3.824 -5.489 3.440
O -2.035 -0.897 3.464
O -4.337 -1.671 5.395
O -2.182 -2.500 0.952
O -1.384 -0.656 -0.573
O -3.829 -5.267 0.666
O -6.132 -4.124 4.962
O -4.437 -2.847 2.547
O -6.754 -0.712 5.185
O -4.027 0.152 0.837
O -5.176 0.831 2.972
O -6.373 -4.281 1.873
O -6.823 -1.936 2.686
O -5.823 -2.302 0.404
O -5.722 -4.040 -2.164
O -7.367 1.931 4.291
O -9.188 -0.209 3.777
O -6.697 0.446 -0.652
O -8.031 0.799 1.455
O -5.838 1.545 -3.423
```